1.
Ca2In12Sn5, relaxed, DFT PBE; symmetry = No. 12; density of states at the Fermi level = 8.9 states/eV per cell; V = 535.3 Å³/cell; calculated formation energy = -66 meV/atom
1.0
8.799 -5.711 0.000
8.799 5.711 0.000
-1.597 0.000 5.326
Ca In Sn
2 12 5
Cartesian
8.799 3.493 0.000 Ca
8.799 -3.493 0.000 Ca
4.046 2.762 4.302 In
2.424 0.000 0.103 In
6.307 2.839 2.148 In
9.693 2.839 3.179 In
6.291 0.000 4.065 In
11.954 2.762 1.024 In
4.046 -2.762 4.302 In
9.709 0.000 1.261 In
6.307 -2.839 2.148 In
9.693 -2.839 3.179 In
13.576 0.000 5.224 In
11.954 -2.762 1.024 In
-0.799 0.000 2.663 Sn
2.937 0.000 3.184 Sn
5.454 0.000 0.964 Sn
10.547 0.000 4.362 Sn
13.063 0.000 2.143 Sn

---

2.
Tm2Sc2Cd, relaxed, DFT PBE; symmetry = No. 15; density of states at the Fermi level = 13.4 states/eV per cell; energy above the lowest structure with this stoichiometry = 0 meV/atom; V = 257.8 Å³/cell; calculated formation energy = -58 meV/atom
1.0
7.268 -2.894 0.000
7.268 2.894 0.000
-1.609 0.000 6.128
Tm Sc Cd
4 4 2
Cartesian
0.757 0.528 2.816 Tm
-0.047 -0.528 5.880 Tm
12.975 0.528 0.248 Tm
12.170 -0.528 3.312 Tm
3.015 0.494 5.245 Sc
3.820 -0.494 2.181 Sc
9.108 0.494 3.947 Sc
9.913 -0.494 0.883 Sc
6.866 0.475 1.532 Cd
6.061 -0.475 4.596 Cd

---

Q: Which of these has the highest density of states at the Fermi level?
A: Tm2Sc2Cd